1.
! Pr4Hg2I3 PBE relaxed; values from VASP
&SYSTEM
  ibrav = 0, nat = 9, ntyp = 3
/
ATOMIC_SPECIES
Pr 140.91 Pr.upf
Hg 200.59 Hg.upf
I 126.90 I.upf
CELL_PARAMETERS angstrom
3.764 -2.173 0.000
3.764 2.173 0.000
-0.021 0.000 20.356
ATOMIC_POSITIONS angstrom
Pr 0.000 0.000 6.043
Pr 2.510 0.000 2.215
Pr 4.998 0.000 18.141
Pr 7.507 0.000 14.313
Hg 2.488 0.000 16.264
Hg 5.019 0.000 4.092
I 0.000 0.000 0.000
I 2.510 0.000 8.100
I 4.998 0.000 12.256
! - Fermi-level density of states: 0.905 states/eV per atom
! - E_form (uncorrected): -0.820 eV/atom
! - Space-group type: No. 12

2.
! GdPa3Mn PBE relaxed; values from VASP
&SYSTEM
  ibrav = 0, nat = 5, ntyp = 3
/
ATOMIC_SPECIES
Gd 157.25 Gd.upf
Pa 231.04 Pa.upf
Mn 54.94 Mn.upf
CELL_PARAMETERS angstrom
5.084 0.000 0.000
0.000 5.084 0.000
0.000 0.000 5.084
ATOMIC_POSITIONS angstrom
Gd 0.000 0.000 0.000
Pa 0.000 2.542 2.542
Pa 2.542 0.000 2.542
Pa 2.542 2.542 0.000
Mn 2.542 2.542 2.542
! - Fermi-level density of states: 2.517 states/eV per atom
! - Formation enthalpy at 0 K: 0.26 eV per atom
! - Space-group type: No. 221

3.
! Sm12Y7Zr PBE relaxed; values from VASP
&SYSTEM
  ibrav = 0, nat = 20, ntyp = 3
/
ATOMIC_SPECIES
Sm 150.36 Sm.upf
Y 88.91 Y.upf
Zr 91.22 Zr.upf
CELL_PARAMETERS angstrom
-5.768 5.768 5.768
5.768 -5.768 5.768
5.768 5.768 -5.768
ATOMIC_POSITIONS angstrom
Sm 5.768 3.247 -3.247
Sm 5.768 -3.247 3.247
Sm 3.247 5.768 -3.247
Sm 2.521 2.521 0.000
Sm 2.521 0.000 2.521
Sm 3.247 -3.247 5.768
Sm 0.000 2.521 2.521
Sm 5.768 3.247 3.247
Sm -3.247 5.768 3.247
Sm -3.247 3.247 5.768
Sm 3.247 5.768 3.247
Sm 3.247 3.247 5.768
Y 2.884 2.884 -2.884
Y 2.884 -2.884 2.884
Y 5.768 0.000 0.000
Y -2.884 2.884 2.884
Y 0.000 5.768 0.000
Y 0.000 0.000 5.768
Y 2.884 2.884 2.884
Zr 0.000 0.000 0.000
! - Fermi-level density of states: 1.142 states/eV per atom
! - Formation enthalpy at 0 K: 0.75 eV per atom
! - Space-group type: No. 229

4.
! V12Ga6Ir PBE relaxed; values from VASP
&SYSTEM
  ibrav = 0, nat = 19, ntyp = 3
/
ATOMIC_SPECIES
V 50.94 V.upf
Ga 69.72 Ga.upf
Ir 192.22 Ir.upf
CELL_PARAMETERS angstrom
4.549 2.626 3.769
-4.549 2.626 3.769
0.000 -5.252 3.769
ATOMIC_POSITIONS angstrom
V -4.181 0.874 4.735
V -2.847 -3.183 6.573
V -1.446 -0.432 3.431
V 1.333 -4.058 4.735
V 1.097 -1.036 3.431
V 0.349 1.468 3.431
V -0.349 -1.468 7.876
V -1.097 1.036 7.876
V -1.333 4.058 6.573
V 1.446 0.432 7.876
V 2.847 3.183 4.735
V 4.181 -0.874 6.573
Ga -0.677 -2.410 5.143
Ga -2.426 -0.619 6.164
Ga -1.749 1.792 5.143
Ga 1.749 -1.792 6.164
Ga 2.426 0.619 5.143
Ga 0.677 2.410 6.164
Ir 0.000 0.000 5.654
! - Fermi-level density of states: 1.145 states/eV per atom
! - Formation enthalpy at 0 K: -0.09 eV per atom
! - Space-group type: No. 148

5.
! Na2InSiO4 PBE relaxed; values from VASP
&SYSTEM
  ibrav = 0, nat = 8, ntyp = 4
/
ATOMIC_SPECIES
Na 22.99 Na.upf
In 114.82 In.upf
Si 28.09 Si.upf
O 16.00 O.upf
CELL_PARAMETERS angstrom
-2.577 2.577 4.452
2.577 -2.577 4.452
2.577 2.577 -4.452
ATOMIC_POSITIONS angstrom
Na 0.000 0.000 0.000
Na 0.000 2.577 2.226
In 0.000 0.000 4.452
Si 2.577 0.000 2.226
O 1.557 -0.938 3.157
O 1.639 1.020 1.295
O 1.020 3.515 -1.295
O 0.938 1.557 5.747
! - Fermi-level density of states: 0.237 states/eV per atom
! - E_form (uncorrected): -1.941 eV/atom
! - Space-group type: No. 82

6.
! Pr8Al2Ga PBE relaxed; values from VASP
&SYSTEM
  ibrav = 0, nat = 11, ntyp = 3
/
ATOMIC_SPECIES
Pr 140.91 Pr.upf
Al 26.98 Al.upf
Ga 69.72 Ga.upf
CELL_PARAMETERS angstrom
-2.578 4.362 7.475
2.578 -4.362 7.475
2.578 4.362 -7.475
ATOMIC_POSITIONS angstrom
Pr 2.578 2.408 -2.363
Pr 0.000 0.000 2.071
Pr 0.000 2.784 0.000
Pr 2.578 2.408 2.363
Pr 0.000 1.953 5.112
Pr 0.000 5.940 0.000
Pr 0.000 0.000 12.879
Pr 0.000 1.953 9.837
Al 2.578 0.000 4.579
Al 0.000 4.362 2.895
Ga 2.578 0.000 0.000
! - Fermi-level density of states: 1.139 states/eV per atom
! - Formation enthalpy at 0 K: -0.16 eV per atom
! - Space-group type: No. 71
! - ΔE to the lowest computed polymorph: 40 meV/atom

7.
! AlCr PBE relaxed; values from VASP
&SYSTEM
  ibrav = 0, nat = 4, ntyp = 2
/
ATOMIC_SPECIES
Al 26.98 Al.upf
Cr 52.00 Cr.upf
CELL_PARAMETERS angstrom
0.000 2.946 2.946
2.946 0.000 2.946
2.946 2.946 0.000
ATOMIC_POSITIONS angstrom
Al 0.737 0.737 0.737
Al 5.156 5.156 5.156
Cr 2.210 2.210 2.210
Cr 3.683 3.683 3.683
! - Fermi-level density of states: 0.229 states/eV per atom
! - Formation enthalpy at 0 K: -0.09 eV per atom
! - Space-group type: No. 227

8.
! TbScSn PBE relaxed; values from VASP
&SYSTEM
  ibrav = 0, nat = 3, ntyp = 3
/
ATOMIC_SPECIES
Tb 158.93 Tb.upf
Sc 44.96 Sc.upf
Sn 118.71 Sn.upf
CELL_PARAMETERS angstrom
4.948 0.000 0.000
-2.474 4.285 0.000
0.000 0.000 3.778
ATOMIC_POSITIONS angstrom
Tb 0.000 0.000 0.000
Sc 2.474 1.428 1.940
Sn 0.000 2.857 1.748
! - Fermi-level density of states: 0.505 states/eV per atom
! - Formation enthalpy at 0 K: -0.41 eV per atom
! - Space-group type: No. 156
! - ΔE to the lowest computed polymorph: 223 meV/atom

9.
! BaMnHg2 PBE relaxed; values from VASP
&SYSTEM
  ibrav = 0, nat = 4, ntyp = 3
/
ATOMIC_SPECIES
Ba 137.33 Ba.upf
Mn 54.94 Mn.upf
Hg 200.59 Hg.upf
CELL_PARAMETERS angstrom
3.998 0.000 0.000
0.000 4.167 0.000
0.000 0.000 7.142
ATOMIC_POSITIONS angstrom
Ba 0.000 0.000 0.000
Mn 0.000 2.084 3.193
Hg 1.999 0.000 2.875
Hg 1.999 2.084 5.229
! - Fermi-level density of states: 0.911 states/eV per atom
! - Formation enthalpy at 0 K: 0.06 eV per atom
! - Space-group type: No. 25

10.
! Ce2TmHfN5 PBE relaxed; values from VASP
&SYSTEM
  ibrav = 0, nat = 18, ntyp = 4
/
ATOMIC_SPECIES
Ce 140.12 Ce.upf
Tm 168.93 Tm.upf
Hf 178.49 Hf.upf
N 14.01 N.upf
CELL_PARAMETERS angstrom
1.776 -6.854 0.000
1.776 6.854 0.000
0.000 0.000 11.205
ATOMIC_POSITIONS angstrom
Ce 1.776 5.087 5.602
Ce 1.776 5.004 0.366
Ce 1.776 -5.004 5.968
Ce 1.776 -5.087 0.000
Tm 1.776 3.632 8.721
Tm 1.776 -3.632 3.119
Hf 1.776 0.148 3.042
Hf 1.776 -0.148 8.644
N 1.776 5.898 9.297
N 1.776 3.038 4.845
N 1.776 2.918 1.555
N 1.776 1.589 9.709
N 1.776 0.485 6.672
N 1.776 -0.485 1.070
N 1.776 -1.589 4.106
N 1.776 -2.918 7.157
N 1.776 -3.038 10.447
N 1.776 -5.898 3.694
! - E_form (uncorrected): -1.486 eV/atom
! - Space-group type: No. 36

11.
! ZnCdRe2 PBE relaxed; values from VASP
&SYSTEM
  ibrav = 0, nat = 4, ntyp = 3
/
ATOMIC_SPECIES
Zn 65.41 Zn.upf
Cd 112.41 Cd.upf
Re 186.21 Re.upf
CELL_PARAMETERS angstrom
1.540 -2.228 0.000
1.540 2.228 0.000
0.000 0.000 9.284
ATOMIC_POSITIONS angstrom
Zn 0.000 0.000 0.000
Cd 0.000 0.000 4.642
Re 1.540 0.000 2.181
Re 1.540 0.000 7.103
! - Fermi-level density of states: 0.641 states/eV per atom
! - Formation enthalpy at 0 K: 0.50 eV per atom
! - Space-group type: No. 65
! - ΔE to the lowest computed polymorph: 337 meV/atom

12.
! PtRh2 PBE relaxed; values from VASP
&SYSTEM
  ibrav = 0, nat = 3, ntyp = 2
/
ATOMIC_SPECIES
Pt 195.08 Pt.upf
Rh 102.91 Rh.upf
CELL_PARAMETERS angstrom
2.744 0.000 0.000
-1.372 2.376 0.000
0.000 0.000 6.751
ATOMIC_POSITIONS angstrom
Pt 0.000 0.000 0.000
Rh 0.000 1.584 4.458
Rh 1.372 0.792 2.292
! - Fermi-level density of states: 1.562 states/eV per atom
! - Formation enthalpy at 0 K: -0.01 eV per atom
! - Space-group type: No. 164
! - ΔE to the lowest computed polymorph: 13 meV/atom

Short version: magnetization = 0.000, 7.842, 0.017, 0.000, 0.000, 0.000, 0.000, 0.000, 4.021, 0.000, 0.000, 0.000 μB per formula unit, in the order given.